1.
Entry from Alexandria: a geometry-optimized RbPd2F6 structure (PBE).

Cell and atoms, written as extended XYZ:
```
9
Lattice="5.773 0.000 0.000 -2.887 5.000 0.000 0.000 0.000 5.837" Properties=species:S:1:pos:R:3 pbc="T T T"
Rb 0.000 0.000 0.000
Pd 0.000 3.333 2.919
Pd 2.887 1.667 2.919
F -1.063 1.842 4.009
F -1.823 3.158 1.828
F 2.127 0.000 4.009
F 1.063 1.842 1.828
F 3.646 0.000 1.828
F 1.823 3.158 4.009
```

Results
For the magnetization, the calculation gives 3.0 μB/cell. Its crystal system is trigonal. Its distance to the lowest polymorph of the same formula is 0.00 eV/f.u. For the total energy, the calculation gives -4.081 eV/atom. Its raw formation energy is -1572 meV/atom.

2.
Entry from Alexandria: a geometry-optimized BaIr4Rh structure (PBE).

Cell and atoms, written as extended XYZ:
```
6
Lattice="0.000 3.824 3.824 3.824 0.000 3.824 3.824 3.824 0.000" Properties=species:S:1:pos:R:3 pbc="T T T"
Ba 0.000 0.000 0.000
Ir 4.774 2.874 2.874
Ir 2.874 4.774 2.874
Ir 2.874 2.874 4.774
Ir 4.774 4.774 4.774
Rh 1.912 1.912 1.912
```

Results
For the magnetization, the calculation gives 3.9 μB/cell. Its crystal system is cubic. For the total energy, the calculation gives -6.953 eV/atom.

3.
Entry from Alexandria: a geometry-optimized TaCrP2 structure (PBE).

Cell and atoms, written as extended XYZ:
```
4
Lattice="3.488 -1.526 0.000 3.488 1.526 0.000 -1.232 0.000 5.271" Properties=species:S:1:pos:R:3 pbc="T T T"
Ta 0.000 0.000 0.000
Cr 2.872 0.000 2.635
P 0.835 0.000 3.706
P 4.908 0.000 1.565
```

Results
For the magnetization, the calculation gives 0.0 μB/cell. Its crystal system is monoclinic. Its distance to the lowest polymorph of the same formula is 1.60 eV/f.u. For the total energy, the calculation gives -8.318 eV/atom.